A geometry-optimized Sr2TeH structure, computed with PBE-GGA.

Unit cell a=7.6855 b=7.6855 c=6.7206 alpha=55.12 beta=55.12 gamma=90.00
Closest atoms and distances in Å follow each position.
Positions (direct):
1 Sr 0.5473 0.1250 0.2500  2 H 2.53
2 Sr 0.3750 0.4527 0.7500  2 H 2.53
3 Sr 0.8750 0.7973 0.7500  2 H 2.53
4 Sr 0.2027 0.6250 0.2500  2 H 2.53
5 Te 0.7500 0.2500 0.5000  4 Sr 3.32
6 Te 0.0000 0.0000 0.0000  4 Sr 3.32
7 H 0.2500 0.7500 0.5000  4 Sr 2.53
8 H 0.5000 0.5000 0.0000  4 Sr 2.53

E_tot: -3.345 eV/atom
Symmetry: I-42d (122)
Volume: 29.19 A^3/atom

---

A geometry-optimized SrTe3H structure, computed with PBE-GGA.

Unit cell a=6.4491 b=6.4491 c=6.4491 alpha=90.00 beta=90.00 gamma=90.00
Closest atoms and distances in Å follow each position.
Positions (direct):
1 Te 0.0000 0.5000 0.0000  2 Sr 3.22
2 Te 0.5000 0.0000 0.0000  2 Sr 3.22
3 Te 0.0000 0.0000 0.5000  2 Sr 3.22
4 H 0.5000 0.5000 0.5000  12 Te 4.56
5 Sr 0.0000 0.0000 0.0000  6 Te 3.22

E_tot: -2.326 eV/atom
Symmetry: Pm-3m (221)
Volume: 53.64 A^3/atom

---

A geometry-optimized SrTe3H structure, computed with PBE-GGA.

Unit cell a=5.0181 b=5.0181 c=5.0181 alpha=90.00 beta=90.00 gamma=90.00
Closest atoms and distances in Å follow each position.
Positions (direct):
1 Te 0.5000 0.0000 0.0000  2 H 2.51
2 Te 0.0000 0.5000 0.0000  2 H 2.51
3 Te 0.0000 0.0000 0.5000  2 H 2.51
4 Sr 0.5000 0.5000 0.5000  12 Te 3.55
5 H 0.0000 0.0000 0.0000  6 Te 2.51

E_tot: -3.041 eV/atom
Symmetry: Pm-3m (221)
Volume: 25.27 A^3/atom

---

A geometry-optimized Sr2TeH2 structure, computed with PBE-GGA.

Unit cell a=7.7922 b=7.7922 c=3.6388 alpha=90.00 beta=90.00 gamma=90.00
Closest atoms and distances in Å follow each position.
Positions (direct):
1 Te 0.5000 0.5000 0.0000  4 H 3.19, 8 Sr 3.43
2 Te 0.0000 0.0000 0.0000  4 H 3.19, 8 Sr 3.43
3 Sr 0.6654 0.8346 0.5000  6 H 2.82-3.12
4 Sr 0.3346 0.1654 0.5000  6 H 2.82-3.12
5 Sr 0.8346 0.3346 0.5000  6 H 2.82-3.12
6 Sr 0.1654 0.6654 0.5000  6 H 2.82-3.12
7 H 0.6049 0.1049 0.0000  1 H 2.31
8 H 0.1049 0.3951 0.0000  1 H 2.31
9 H 0.3951 0.8951 0.0000  1 H 2.31
10 H 0.8951 0.6049 0.0000  1 H 2.31

E_tot: -3.229 eV/atom
Symmetry: P4/mbm (127)
Volume: 22.09 A^3/atom

---

A geometry-optimized SrTeH2 structure, computed with PBE-GGA.

Unit cell a=4.6288 b=4.6288 c=4.6288 alpha=60.00 beta=60.00 gamma=60.00
Closest atoms and distances in Å follow each position.
Positions (direct):
1 Sr 0.0000 0.0000 0.0000  8 H 2.83
2 H 0.2500 0.2500 0.2500  4 Te 2.83, 4 Sr 2.83
3 H 0.7500 0.7500 0.7500  4 Te 2.83, 4 Sr 2.83
4 Te 0.5000 0.5000 0.5000  8 H 2.83

E_tot: -3.056 eV/atom
Symmetry: Fm-3m (225)
Volume: 17.53 A^3/atom

---

A geometry-optimized Sr2TeH2 structure, computed with PBE-GGA.

Unit cell a=4.1689 b=4.1689 c=7.1437 alpha=73.03 beta=73.03 gamma=90.00
Closest atoms and distances in Å follow each position.
Positions (direct):
1 H 0.2500 0.7500 0.5000  4 Sr 2.48
2 H 0.7500 0.2500 0.5000  4 Sr 2.48
3 Sr 0.3537 0.3537 0.2925  4 H 2.48
4 Sr 0.6463 0.6463 0.7075  4 H 2.48
5 Te 0.0000 0.0000 0.0000  8 Sr 3.51, 8 H 3.86

E_tot: -3.673 eV/atom
Symmetry: I4/mmm (139)
Volume: 22.62 A^3/atom

---

A geometry-optimized Sr2TeH structure, computed with PBE-GGA.

Unit cell a=4.4440 b=4.4440 c=7.5533 alpha=72.89 beta=72.89 gamma=60.00
Closest atoms and distances in Å follow each position.
Positions (direct):
1 Sr 0.2609 0.2609 0.2174  3 H 2.99, 3 Te 3.26
2 Sr 0.7391 0.7391 0.7826  3 H 2.99, 3 Te 3.26
3 H 0.0000 0.0000 0.0000  6 Sr 2.99
4 Te 0.5000 0.5000 0.5000  6 Sr 3.26

E_tot: -3.316 eV/atom
Symmetry: R-3m (166)
Volume: 30.38 A^3/atom

---

A geometry-optimized SrTeH2 structure, computed with PBE-GGA.

Unit cell a=6.2084 b=6.2069 c=11.1022 alpha=90.00 beta=55.97 gamma=90.00
Closest atoms and distances in Å follow each position.
Positions (direct):
1 Sr 0.8982 0.4988 0.3519  4 H 2.58-2.59
2 Sr 0.1018 0.5012 0.6481  4 H 2.58-2.59
3 Sr 0.3980 0.0011 0.3519  4 H 2.58-2.59
4 Sr 0.6020 0.9989 0.6481  4 H 2.58-2.59
5 Te 0.9550 0.0005 0.7949  1 H 1.68
6 Te 0.0450 0.9995 0.2051  1 H 1.68
7 Te 0.4551 0.4995 0.7949  1 H 1.68
8 Te 0.5449 0.5005 0.2051  1 H 1.68
9 H 0.0016 0.7500 0.4984  4 Sr 2.58-2.59
10 H 0.2274 0.0117 0.0232  1 Te 1.68
11 H 0.2727 0.5118 0.9768  1 Te 1.68
12 H 0.9984 0.2500 0.5016  4 Sr 2.58-2.59
13 H 0.4984 0.2500 0.5016  4 Sr 2.58-2.59
14 H 0.7726 0.9883 0.9768  1 Te 1.68
15 H 0.7273 0.4882 0.0232  1 Te 1.68
16 H 0.5016 0.7500 0.4984  4 Sr 2.58-2.59

E_tot: -3.444 eV/atom
Symmetry: Pbcm (57)
Volume: 22.16 A^3/atom

---

A geometry-optimized Sr5Th3H12 structure, computed with PBE-GGA.

Unit cell a=12.1242 b=12.1242 c=12.1242 alpha=109.47 beta=109.47 gamma=109.47
Closest atoms and distances in Å follow each position.
Positions (direct):
1 Sr 0.6250 0.8750 0.2500  4 H 2.48
2 Sr 0.0000 0.5000 0.0000  6 H 2.46
3 Sr 0.1250 0.3750 0.2500  4 H 2.48
4 Sr 0.0000 0.0000 0.0000  6 H 2.46
5 Sr 0.1250 0.7500 0.3750  4 H 2.48
6 Sr 0.8750 0.2500 0.6250  4 H 2.48
7 Sr 0.7500 0.6250 0.3750  4 H 2.48
8 Sr 0.2500 0.3750 0.6250  4 H 2.48
9 Sr 0.6250 0.7500 0.8750  4 H 2.48
10 Sr 0.0000 0.5000 0.5000  6 H 2.46
11 Sr 0.5000 0.0000 0.5000  6 H 2.46
12 Sr 0.0000 0.0000 0.5000  6 H 2.46
13 Sr 0.8750 0.6250 0.7500  4 H 2.48
14 Sr 0.2500 0.8750 0.1250  4 H 2.48
15 Sr 0.3750 0.1250 0.7500  4 H 2.48
16 Sr 0.5000 0.0000 0.0000  6 H 2.46
17 Sr 0.7500 0.1250 0.8750  4 H 2.48
18 Sr 0.3750 0.2500 0.1250  4 H 2.48
19 Sr 0.5000 0.5000 0.0000  6 H 2.46
20 Sr 0.5000 0.5000 0.5000  6 H 2.46
21 Th 0.8750 0.7500 0.1250  8 H 2.39-2.45
22 Th 0.6250 0.3750 0.7500  8 H 2.39-2.45
23 Th 0.7500 0.8750 0.6250  8 H 2.39-2.45
24 Th 0.8750 0.1250 0.2500  8 H 2.39-2.45
25 Th 0.6250 0.2500 0.3750  8 H 2.39-2.45
26 Th 0.2500 0.6250 0.8750  8 H 2.39-2.45
27 Th 0.1250 0.2500 0.8750  8 H 2.39-2.45
28 Th 0.2500 0.1250 0.3750  8 H 2.39-2.45
29 Th 0.1250 0.8750 0.7500  8 H 2.39-2.45
30 Th 0.3750 0.6250 0.2500  8 H 2.39-2.45
31 Th 0.7500 0.3750 0.1250  8 H 2.39-2.45
32 Th 0.3750 0.7500 0.6250  8 H 2.39-2.45
33 H 0.4262 0.1620 0.5795  1 H 2.18, 1 Th 2.39
34 H 0.3467 0.7642 0.4262  1 H 2.18, 1 Th 2.39
35 H 0.3380 0.9175 0.7642  1 H 2.18, 1 Th 2.39
36 H 0.1620 0.7358 0.5825  1 H 2.18, 1 Th 2.39
37 H 0.9205 0.8467 0.5825  1 H 2.18, 1 Th 2.39
38 H 0.9262 0.8467 0.7642  1 H 2.18, 1 Th 2.39
39 H 0.4205 0.0825 0.3467  1 H 2.18, 1 Th 2.39
40 H 0.7358 0.5738 0.1533  1 H 2.18, 1 Th 2.39
41 H 0.0825 0.4205 0.8467  1 H 2.18, 1 Th 2.39
42 H 0.6620 0.5795 0.9262  1 H 2.18, 1 Th 2.39
43 H 0.9262 0.0795 0.6620  1 H 2.18, 1 Th 2.39
44 H 0.1533 0.0738 0.7358  1 H 2.18, 1 Th 2.39
45 H 0.9205 0.0738 0.8380  1 H 2.18, 1 Th 2.39
46 H 0.5825 0.2358 0.1620  1 H 2.18, 1 Th 2.39
47 H 0.3467 0.5825 0.4205  1 H 2.18, 1 Th 2.39
48 H 0.4262 0.2642 0.3467  1 H 2.18, 1 Th 2.39
49 H 0.8380 0.2642 0.4175  1 H 2.18, 1 Th 2.39
50 H 0.7358 0.1620 0.0825  1 H 2.18, 1 Th 2.39
51 H 0.5795 0.9175 0.6533  1 H 2.18, 1 Th 2.39
52 H 0.7642 0.3467 0.9262  1 H 2.18, 1 Th 2.39
53 H 0.5825 0.3467 0.9205  1 H 2.18, 1 Th 2.39
54 H 0.6533 0.4175 0.5795  1 H 2.18, 1 Th 2.39
55 H 0.7642 0.4175 0.3380  1 H 2.18, 1 Th 2.39
56 H 0.4175 0.7642 0.8380  1 H 2.18, 1 Th 2.39
57 H 0.1620 0.4262 0.0795  1 H 2.18, 1 Th 2.39
58 H 0.5795 0.6620 0.4262  1 H 2.18, 1 Th 2.39
59 H 0.2642 0.8380 0.9175  1 H 2.18, 1 Th 2.39
60 H 0.3380 0.4205 0.0738  1 H 2.18, 1 Th 2.39
61 H 0.6533 0.2358 0.5738  1 H 2.18, 1 Th 2.39
62 H 0.0738 0.9205 0.3380  1 H 2.18, 1 Th 2.39
63 H 0.8467 0.9205 0.0825  1 H 2.18, 1 Th 2.39
64 H 0.2642 0.4262 0.8467  1 H 2.18, 1 Th 2.39
65 H 0.2358 0.5825 0.6620  1 H 2.18, 1 Th 2.39
66 H 0.9175 0.3380 0.2642  1 H 2.18, 1 Th 2.39
67 H 0.9175 0.5795 0.1533  1 H 2.18, 1 Th 2.39
68 H 0.5738 0.7358 0.6533  1 H 2.18, 1 Th 2.39
69 H 0.0795 0.1533 0.4175  1 H 2.18, 1 Th 2.39
70 H 0.4205 0.3380 0.5738  1 H 2.18, 1 Th 2.39
71 H 0.1533 0.0795 0.9175  1 H 2.18, 1 Th 2.39
72 H 0.4175 0.6533 0.0795  1 H 2.18, 1 Th 2.39
73 H 0.0825 0.6620 0.7358  1 H 2.18, 1 Th 2.39
74 H 0.2358 0.6533 0.0738  1 H 2.18, 1 Th 2.39
75 H 0.6620 0.0825 0.2358  1 H 2.18, 1 Th 2.39
76 H 0.5738 0.8380 0.4205  1 H 2.18, 1 Th 2.39
77 H 0.0795 0.9262 0.1620  1 H 2.18, 1 Th 2.39
78 H 0.8467 0.9262 0.2642  1 H 2.18, 1 Th 2.39
79 H 0.8380 0.5738 0.9205  1 H 2.18, 1 Th 2.39
80 H 0.0738 0.1533 0.2358  1 H 2.18, 1 Th 2.39

E_tot: -3.847 eV/atom
Symmetry: Ia-3d (230)
Volume: 17.15 A^3/atom

---

A geometry-optimized SrThH4 structure, computed with PBE-GGA.

Unit cell a=3.9312 b=3.9312 c=5.6571 alpha=90.00 beta=90.00 gamma=90.00
Closest atoms and distances in Å follow each position.
Positions (direct):
1 H 0.0013 0.4973 0.7249  2 Th 2.35, 2 Sr 2.50, 1 H 2.57
2 H 0.5013 0.9973 0.7249  2 Th 2.35, 2 Sr 2.50, 1 H 2.57
3 H 0.5013 0.9972 0.2714  2 Th 2.35, 2 Sr 2.50, 1 H 2.57
4 H 0.0013 0.4973 0.2714  2 Th 2.35, 2 Sr 2.50, 1 H 2.57
5 Th 0.0013 0.9973 0.4982  8 H 2.35
6 Sr 0.5013 0.4973 0.9981  8 H 2.50

E_tot: -4.271 eV/atom
Symmetry: P4/mmm (123)
Volume: 14.57 A^3/atom

---

A geometry-optimized SrTh2H8 structure, computed with PBE-GGA.

Unit cell a=3.7592 b=5.7333 c=6.6984 alpha=115.34 beta=106.30 gamma=90.00
Closest atoms and distances in Å follow each position.
Positions (direct):
1 Sr 0.5000 0.0000 0.0000  8 H 2.45-2.48
2 H 0.6691 0.4276 0.3382  3 H 2.24-2.40, 3 Th 2.33-2.38, 1 Sr 2.45
3 H 0.1775 0.1775 0.3550  6 H 2.24-2.40
4 H 0.0000 0.2826 0.0000  2 Th 2.31, 2 Sr 2.48, 1 H 2.49
5 H 0.8225 0.8225 0.6450  6 H 2.24-2.40
6 H 0.3309 0.0894 0.6618  3 H 2.24-2.40, 3 Th 2.33-2.38, 1 Sr 2.45
7 H 0.6691 0.9106 0.3382  3 H 2.24-2.40, 3 Th 2.33-2.38, 1 Sr 2.45
8 H 0.0000 0.7174 0.0000  2 Th 2.31, 2 Sr 2.48, 1 H 2.49
9 H 0.3309 0.5724 0.6618  3 H 2.24-2.40, 3 Th 2.33-2.38, 1 Sr 2.45
10 Th 0.1689 0.6689 0.3377  10 H 2.31-2.58
11 Th 0.8311 0.3311 0.6623  10 H 2.31-2.58

E_tot: -4.425 eV/atom
Symmetry: Immm (71)
Volume: 11.28 A^3/atom